# PBE-GGA Sr3MnIr, relaxed
data_Sr3MnIr
_cell_length_a 5.799
_cell_length_b 5.799
_cell_length_c 5.799
_cell_angle_alpha 90.00
_cell_angle_beta 90.00
_cell_angle_gamma 90.00
_space_group_name_H-M_alt 'P m -3 m'
_space_group_IT_number 221
_space_group_name_Hall '-P 4 2 3'
loop_
_atom_site_label
_atom_site_type_symbol
_atom_site_fract_x
_atom_site_fract_y
_atom_site_fract_z
Sr1 Sr 0.000 0.000 0.500
Mn1 Mn 0.500 0.500 0.500
Ir1 Ir 0.000 0.000 0.000
# Raw total energy (eV per atom): -4.30
# Energy relative to the lowest polymorph listed for this composition (meV per atom): 0
# Calculated formation energy (eV per atom): 0.313
# Density of states at the Fermi level (states/eV per cell): 4.48
# Theoretical density (g cm⁻³): 4.34